YMnI2O | PBE+U | optimized geometry

abc: 6.256 6.256 4.206
angles: 90.00 90.00 90.00
Atoms (fractional coordinates):
I 0.000 0.500 0.000
I 0.500 0.000 0.000
Y 0.000 0.000 0.000
Mn 0.500 0.500 0.500
O 0.000 0.000 0.500

Computed properties:
energy above the lowest structure with this stoichiometry	0.0	meV/atom
total magnetization	5.96	μB per formula unit
raw total energy	-0.4022	Ry/atom
space-group type	No. 123